[1]
12
Lattice="-4.479 -2.762 -0.896 2.863 -1.982 7.695 -4.845 8.379 -1.605" Properties=species:S:1:pos:R:3 comment="Pm2HoSc3 | Alexandria via LeMat-Bulk | PBE | optimized geometry" spacegroup="C2/m (12)" de_polymorph_mev_per_atom=0 magmom_total_mub_per_cell=0.00 pbc="T T T"
Pm -6.293 5.495 -1.378
Sc -3.934 0.540 2.100
Pm -3.850 5.745 1.538
Sc -2.528 3.095 3.094
Sc -1.476 0.800 4.908
Ho -5.880 3.243 3.498
Sc -1.881 3.027 0.073
Ho -0.582 0.393 1.696
Pm -2.611 -2.110 3.656
Sc -4.986 2.835 0.286
Sc -4.581 0.609 5.121
Pm -0.169 -1.859 6.572


[2]
16
Lattice="6.228 0.000 0.000 0.000 7.236 0.000 0.000 0.000 11.277" Properties=species:S:1:pos:R:3 comment="Pm3Ho4Sc | Alexandria via LeMat-Bulk | PBE | optimized geometry" spacegroup="Pmn2_1 (31)" de_polymorph_mev_per_atom=0 magmom_total_mub_per_cell=0.00 pbc="T T T"
Pm 4.033 4.532 0.000
Ho 4.052 0.902 5.638
Ho 0.908 6.343 5.638
Pm 6.097 4.513 2.821
Ho 4.022 0.893 0.000
Pm 6.097 4.513 8.456
Pm 0.919 2.705 5.638
Sc 4.014 4.551 5.638
Ho 6.132 0.902 8.518
Pm 2.983 2.723 2.817
Ho 3.017 6.334 2.880
Pm 2.983 2.723 8.460
Ho 3.017 6.334 8.397
Ho 6.132 0.902 2.759
Ho 0.938 6.335 0.000
Sc 0.900 2.685 0.000


[3]
22
Lattice="-9.194 -4.249 0.760 9.021 -1.875 -4.276 8.744 -4.708 7.773" Properties=species:S:1:pos:R:3 comment="Pm7Ho3Sc | Alexandria via LeMat-Bulk | PBE | optimized geometry" spacegroup="C2/c (15)" de_polymorph_mev_per_atom=0 magmom_total_mub_per_cell=0.00 pbc="T T T"
Pm -2.846 -2.078 0.159
Sc -0.086 -3.062 -1.757
Ho 4.371 -2.355 3.884
Ho 5.084 -3.728 -0.857
Pm 11.491 -5.790 5.857
Pm 7.129 -3.385 1.943
Pm -2.920 -5.041 -1.600
Ho 9.457 -6.078 3.031
Ho -0.172 -6.124 -3.515
Pm 6.501 -5.549 4.672
Sc 4.285 -5.418 2.128
Pm 1.534 -4.435 3.986
Ho -0.886 -4.754 1.226
Pm 12.970 -5.865 2.524
Ho 3.485 -7.103 5.116
Pm 11.416 -8.753 4.099
Pm -0.026 -7.287 5.638
Pm -4.398 -4.964 1.732
Pm 8.595 -3.545 -1.380
Pm 1.441 -7.447 2.314
Pm 2.070 -5.284 -0.414
Pm 7.035 -6.398 0.270


[4]
10
Lattice="9.176 0.000 -2.481 0.212 5.602 0.785 -3.005 1.973 7.096" Properties=species:S:1:pos:R:3 comment="Pm2HoSc2 | Alexandria via LeMat-Bulk | PBE | optimized geometry" spacegroup="Imma (74)" de_polymorph_mev_per_atom=19 magmom_total_mub_per_cell=0.00 pbc="T T T"
Sc 4.021 3.599 3.823
Pm 4.354 1.107 1.084
Sc -1.441 6.399 5.721
Pm 0.316 3.667 4.358
Pm 2.029 6.468 4.316
Pm 6.068 3.908 1.042
Ho 8.384 4.201 -1.635
Sc 7.825 1.176 -0.321
Ho 1.005 1.400 -0.061
Sc 2.362 3.977 1.577


[5]
18
Lattice="-3.615 -4.758 6.214 6.315 -5.816 -0.781 2.766 9.048 2.558" Properties=species:S:1:pos:R:3 comment="Pm3Ho5Sc | Alexandria via LeMat-Bulk | PBE | optimized geometry" spacegroup="I4/mcm (140)" magmom_total_mub_per_cell=0.00 pbc="T T T"
Ho 1.350 -5.287 2.717
Sc 5.215 -1.028 2.247
Ho 1.397 -1.542 3.143
Ho 5.326 2.902 1.809
Ho 4.870 -4.036 2.211
Pm 1.981 -2.783 0.439
Ho 3.613 -6.922 5.250
Ho 0.000 0.000 0.000
Ho 1.854 5.396 2.741
Pm -1.487 -3.632 3.751
Sc 0.251 -0.499 5.744
Ho 0.597 2.510 5.780
Ho 0.140 -4.428 6.182
Pm 3.408 -3.407 5.354
Pm 4.187 -6.942 1.682
Ho 4.069 0.016 4.848
Pm 2.058 1.880 2.637
Pm 0.720 -7.792 4.995


[6]
11
Lattice="3.419 0.000 0.002 0.000 5.563 0.003 1.700 2.762 17.427" Properties=species:S:1:pos:R:3 comment="Pm4Ho4Sc3 | Alexandria via LeMat-Bulk | PBE | optimized geometry" spacegroup="C2/m (12)" magmom_total_mub_per_cell=0.00 pbc="T T T"
Pm 3.411 2.768 14.308
Pm 1.706 2.773 8.025
Ho 3.411 5.548 15.844
Sc 3.416 2.775 4.687
Sc 1.703 5.551 12.746
Ho 1.705 5.555 6.246
Pm 1.708 5.557 3.123
Ho 3.414 2.770 11.185
Sc 0.000 0.000 0.000
Pm 3.413 5.553 9.407
Ho 1.708 2.777 1.590


[7]
14
Lattice="12.346 -3.251 -1.226 -9.740 8.255 -1.226 0.214 0.411 6.145" Properties=species:S:1:pos:R:3 comment="Pm4Ho2Sc | Alexandria via LeMat-Bulk | PBE | optimized geometry" spacegroup="C2/c (15)" de_polymorph_mev_per_atom=0 magmom_total_mub_per_cell=0.00 pbc="T T T"
Ho 5.370 0.764 1.803
Pm 0.560 3.007 -1.271
Ho -7.218 7.321 1.803
Sc -0.909 4.035 1.802
Pm 11.677 -2.523 1.803
Ho 10.029 -1.925 -1.270
Pm 2.251 2.388 1.802
Pm 8.576 -0.906 1.803
Pm -5.764 6.303 -1.270
Pm -4.026 5.659 1.803
Pm -8.866 7.918 -1.270
Pm 6.838 -0.262 -1.269
Ho -2.558 4.633 -1.269
Sc 3.720 1.362 -1.270


[8]
11
Lattice="4.977 0.000 0.000 0.000 7.878 0.431 -2.489 -2.842 8.528" Properties=species:S:1:pos:R:3 comment="Pm2Ho8Sc | Alexandria via LeMat-Bulk | PBE | optimized geometry" spacegroup="C2/m (12)" magmom_total_mub_per_cell=0.00 pbc="T T T"
Ho 2.489 3.033 1.713
Pm 2.489 1.305 4.827
Ho 0.000 0.627 2.354
Ho 2.489 6.137 3.461
Ho 2.489 4.409 6.605
Ho 0.000 -1.101 5.498
Ho 2.489 -0.462 7.890
Pm 0.000 3.731 4.132
Sc 2.489 0.000 0.000
Ho 0.000 5.498 1.069
Ho 0.000 2.003 7.245


What did we get for energy of formation? Answer: 47 22 205 87 239 116 21 33 kJ/mol of formula units, in the order shown.